[1]
DFT (PBE) results for an optimized crystal structure of RbAlTlAu.

```
data_RbAlTlAu
_cell_length_a 7.5065
_cell_length_b 7.5065
_cell_length_c 7.5065
_cell_angle_alpha 90.00
_cell_angle_beta 90.00
_cell_angle_gamma 90.00
_symmetry_space_group_name_H-M 'F -4 3 m'
_symmetry_Int_Tables_number 216
_symmetry_space_group_name_Hall 'F -4 2 3'
loop_
_atom_site_label
_atom_site_fract_x
_atom_site_fract_y
_atom_site_fract_z
Rb1 0.0000 0.0000 0.0000
Al1 0.2500 0.2500 0.7500
Tl1 0.2500 0.2500 0.2500
Au1 0.0000 0.0000 0.5000
```

Electronic total energy   -2.32 eV/atom

***

[2]
DFT (PBE) results for an optimized crystal structure of Zr4Si3W2N3.

```
data_Zr4Si3W2N3
_cell_length_a 9.6824
_cell_length_b 5.6007
_cell_length_c 13.1712
_cell_angle_alpha 90.00
_cell_angle_beta 104.24
_cell_angle_gamma 90.00
_symmetry_space_group_name_H-M 'C 1 2/c 1'
_symmetry_Int_Tables_number 15
loop_
_symmetry_equiv_pos_as_xyz
'x,y,z'
'-x,-y,-z'
'-x,y,-z+1/2'
'x,-y,z+1/2'
'x+1/2,y+1/2,z'
'-x+1/2,-y+1/2,-z'
'-x+1/2,y+1/2,-z+1/2'
'x+1/2,-y+1/2,z+1/2'
loop_
_atom_site_label
_atom_site_fract_x
_atom_site_fract_y
_atom_site_fract_z
Zr1 0.1175 0.0865 0.1020
Zr2 0.2169 0.0824 0.3978
Si1 0.0000 0.1476 0.7500
Si2 0.1351 0.4476 0.2503
W1 0.0528 0.4180 0.9152
N1 0.0863 0.2417 0.4999
N2 0.2500 0.2500 0.0000
```

Electronic total energy   -9.23 eV/atom

***

[3]
DFT (PBE) results for an optimized crystal structure of Li2InPd.

```
data_Li2InPd
_cell_length_a 6.3745
_cell_length_b 6.3745
_cell_length_c 6.3745
_cell_angle_alpha 90.00
_cell_angle_beta 90.00
_cell_angle_gamma 90.00
_symmetry_space_group_name_H-M 'F -4 3 m'
_symmetry_Int_Tables_number 216
_symmetry_space_group_name_Hall 'F -4 2 3'
loop_
_atom_site_label
_atom_site_fract_x
_atom_site_fract_y
_atom_site_fract_z
Li1 0.0000 0.0000 0.0000
Li2 0.2500 0.2500 0.2500
In1 0.0000 0.0000 0.5000
Pd1 0.2500 0.2500 0.7500
```

Electronic total energy   -3.43 eV/atom

***

[4]
DFT (PBE) results for an optimized crystal structure of Cd2SiAs4Os.

```
data_Cd2SiAs4Os
_cell_length_a 5.9402
_cell_length_b 5.9402
_cell_length_c 11.3140
_cell_angle_alpha 90.00
_cell_angle_beta 90.00
_cell_angle_gamma 90.00
_symmetry_space_group_name_H-M 'I -4'
_symmetry_Int_Tables_number 82
loop_
_symmetry_equiv_pos_as_xyz
'x,y,z'
'y,-x,-z'
'-x,-y,z'
'-y,x,-z'
'x+1/2,y+1/2,z+1/2'
'y+1/2,-x+1/2,-z+1/2'
'-x+1/2,-y+1/2,z+1/2'
'-y+1/2,x+1/2,-z+1/2'
loop_
_atom_site_label
_atom_site_fract_x
_atom_site_fract_y
_atom_site_fract_z
Cd1 0.0000 0.0000 0.0000
Cd2 0.0000 0.5000 0.2500
Si1 0.0000 0.0000 0.5000
As1 0.2056 0.2530 0.6260
Os1 0.0000 0.5000 0.7500
```

Electronic total energy   -4.53 eV/atom

***

[5]
DFT (PBE) results for an optimized crystal structure of PrGdSbCl2.

```
data_PrGdSbCl2
_cell_length_a 4.2725
_cell_length_b 4.2725
_cell_length_c 10.7088
_cell_angle_alpha 90.00
_cell_angle_beta 90.00
_cell_angle_gamma 120.00
_symmetry_space_group_name_H-M 'P 3 m 1'
_symmetry_Int_Tables_number 156
loop_
_symmetry_equiv_pos_as_xyz
'x,y,z'
'-y,x-y,z'
'-x+y,-x,z'
'-y,-x,z'
'-x+y,y,z'
'x,x-y,z'
loop_
_atom_site_label
_atom_site_fract_x
_atom_site_fract_y
_atom_site_fract_z
Pr1 0.0000 0.0000 0.0000
Gd1 0.6667 0.3333 0.6611
Sb1 0.3333 0.6667 0.8236
Cl1 0.0000 0.0000 0.5208
Cl2 0.6667 0.3333 0.1500
```

Electronic total energy   -5.13 eV/atom

***

[6]
DFT (PBE) results for an optimized crystal structure of LaLuNp.

```
data_LaLuNp
_cell_length_a 7.0046
_cell_length_b 7.0046
_cell_length_c 7.0046
_cell_angle_alpha 90.00
_cell_angle_beta 90.00
_cell_angle_gamma 90.00
_symmetry_space_group_name_H-M 'F -4 3 m'
_symmetry_Int_Tables_number 216
_symmetry_space_group_name_Hall 'F -4 2 3'
loop_
_atom_site_label
_atom_site_fract_x
_atom_site_fract_y
_atom_site_fract_z
La1 0.0000 0.0000 0.0000
Lu1 0.2500 0.2500 0.7500
Np1 0.2500 0.2500 0.2500
```

Formation enthalpy at 0 K   1.095 eV/atom